The following is a PBE calculation of a geometry-optimized ZnNi structure, from the Alexandria database.

Properties
**Energy of formation from the pure elements**: -0.166 eV per atom
**Size of the total moment**: 0.00 μB per formula unit

Cell: 3.633 3.633 7.388 Å, 90.00 90.00 90.00°
Space group I4_1/amd (No. 141, origin choice 2)
Symmetry-distinct sites (fractional):
Zn1 0.000 0.250 0.375
Ni1 0.000 0.250 0.875

=====

The following is a PBE calculation of a geometry-optimized Zn3Ni structure, from the Alexandria database.

Properties
**Energy of formation from the pure elements**: -0.111 eV per atom
**Size of the total moment**: 0.00 μB per formula unit

Cell: 5.958 5.958 5.958 Å, 90.00 90.00 90.00°
Space group Fm-3m (No. 225)
Symmetry-distinct sites (fractional):
Zn1 0.000 0.000 0.000
Zn2 0.250 0.250 0.250
Ni1 0.000 0.000 0.500

=====

The following is a PBE calculation of a geometry-optimized Zn3Ni structure, from the Alexandria database.

Properties
**Energy of formation from the pure elements**: -0.109 eV per atom
**Size of the total moment**: 0.00 μB per formula unit

Cell: 5.439 7.013 2.781 Å, 90.00 90.00 90.00°
Space group Cmmm (No. 65)
Symmetry-distinct sites (fractional):
Zn1 0.000 0.000 0.000
Zn2 0.250 0.250 0.500
Ni1 0.000 0.500 0.000

=====

Calculated calculated volume in order - 12.187, 13.217, 13.256 A^3/atom
Calculated VASP energy in order - -29.55, -40.19, -20.07 eV for the cell shown